# PBE with a Hubbard U KPaCo2O6, relaxed
# Calculated total energy, eV per atom: -6.89
data_KPaCo2O6
_chemical_formula_sum 'K3 Pa3 Co6 O18'
_cell_length_a 5.6256
_cell_length_b 5.6256
_cell_length_c 15.9790
_cell_angle_alpha 90.00
_cell_angle_beta 90.00
_cell_angle_gamma 120.00
_space_group_name_H-M_alt 'R -3'
_space_group_IT_number 148
_space_group_name_Hall '-R 3'
loop_
_atom_site_label
_atom_site_type_symbol
_atom_site_fract_x
_atom_site_fract_y
_atom_site_fract_z
K1 K 0.0000 0.0000 0.0000
Pa1 Pa 0.0000 0.0000 0.5000
Co1 Co 0.0000 0.0000 0.3094
O1 O 0.0096 0.5819 0.0763



# PBE with a Hubbard U K2PaCoO6, relaxed
# Calculated total energy, eV per atom: -6.57
# Density of states at the Fermi level, states/eV/f.u.: 6.1
data_K2PaCoO6
_chemical_formula_sum 'K8 Pa4 Co4 O24'
_cell_length_a 8.135
_cell_length_b 8.135
_cell_length_c 8.135
_cell_angle_alpha 90.00
_cell_angle_beta 90.00
_cell_angle_gamma 90.00
_space_group_name_H-M_alt 'F m -3 m'
_space_group_IT_number 225
_space_group_name_Hall '-F 4 2 3'
loop_
_atom_site_label
_atom_site_type_symbol
_atom_site_fract_x
_atom_site_fract_y
_atom_site_fract_z
K1 K 0.250 0.250 0.250
Pa1 Pa 0.000 0.000 0.000
Co1 Co 0.000 0.000 0.500
O1 O 0.000 0.000 0.266



# PBE with a Hubbard U K2Pa3CoO12, relaxed
# Calculated total energy, eV per atom: -7.64
# Density of states at the Fermi level, states/eV/f.u.: 8.5
data_K2Pa3CoO12
_chemical_formula_sum 'K6 Pa9 Co3 O36'
_cell_length_a 7.9432
_cell_length_b 7.9432
_cell_length_c 18.1635
_cell_angle_alpha 90.00
_cell_angle_beta 90.00
_cell_angle_gamma 120.00
_space_group_name_H-M_alt 'R -3 m'
_space_group_IT_number 166
_space_group_name_Hall '-R 3 2"'
loop_
_atom_site_label
_atom_site_type_symbol
_atom_site_fract_x
_atom_site_fract_y
_atom_site_fract_z
K1 K 0.0000 0.0000 0.1331
Pa1 Pa 0.0000 0.5000 0.0000
Co1 Co 0.0000 0.0000 0.5000
O1 O 0.0766 0.5383 0.3667
O2 O 0.1104 0.2209 0.4439



# PBE with a Hubbard U KPaCoO6, relaxed
# Calculated total energy, eV per atom: -6.58
# Density of states at the Fermi level, states/eV/f.u.: 4.7
data_KPaCoO6
_chemical_formula_sum 'K1 Pa1 Co1 O6'
_cell_length_a 5.4651
_cell_length_b 5.4651
_cell_length_c 4.7755
_cell_angle_alpha 90.00
_cell_angle_beta 90.00
_cell_angle_gamma 120.00
_space_group_name_H-M_alt 'P 3 1 2'
_space_group_IT_number 149
loop_
_space_group_symop_operation_xyz
'x,y,z'
'-y,x-y,z'
'-x+y,-x,z'
'-y,-x,-z'
'-x+y,y,-z'
'x,x-y,-z'
loop_
_atom_site_label
_atom_site_type_symbol
_atom_site_fract_x
_atom_site_fract_y
_atom_site_fract_z
K1 K 0.0000 0.0000 0.0000
Pa1 Pa 0.3333 0.6667 0.5000
Co1 Co 0.6667 0.3333 0.0000
O1 O 0.4347 0.0266 0.7666



# PBE with a Hubbard U K2PaCo2O6, relaxed
# Calculated total energy, eV per atom: -6.62
data_K2PaCo2O6
_chemical_formula_sum 'K6 Pa3 Co6 O18'
_cell_length_a 6.0896
_cell_length_b 6.0896
_cell_length_c 16.8724
_cell_angle_alpha 90.00
_cell_angle_beta 90.00
_cell_angle_gamma 120.00
_space_group_name_H-M_alt 'R -3 m'
_space_group_IT_number 166
_space_group_name_Hall '-R 3 2"'
loop_
_atom_site_label
_atom_site_type_symbol
_atom_site_fract_x
_atom_site_fract_y
_atom_site_fract_z
K1 K 0.0000 0.0000 0.2202
Pa1 Pa 0.0000 0.0000 0.0000
Co1 Co 0.0000 0.0000 0.4336
O1 O 0.0040 0.5020 0.7448



# PBE with a Hubbard U KPa2CoO8, relaxed
# Calculated total energy, eV per atom: -7.67
# Density of states at the Fermi level, states/eV/f.u.: 4.2
data_KPa2CoO8
_chemical_formula_sum 'K1 Pa2 Co1 O8'
_cell_length_a 5.0624
_cell_length_b 5.0624
_cell_length_c 8.0375
_cell_angle_alpha 90.00
_cell_angle_beta 90.00
_cell_angle_gamma 120.00
_space_group_name_H-M_alt 'P -3 m 1'
_space_group_IT_number 164
_space_group_name_Hall '-P 3 2"'
loop_
_atom_site_label
_atom_site_type_symbol
_atom_site_fract_x
_atom_site_fract_y
_atom_site_fract_z
K1 K 0.0000 0.0000 0.0000
Pa1 Pa 0.3333 0.6667 0.3638
Co1 Co 0.0000 0.0000 0.5000
O1 O 0.1722 0.3445 0.6281
O2 O 0.3333 0.6667 0.1296